No. 1
Compound: Ba2HfSi
Source: OQMD
Functional: PBE
Structure: relaxed

Cell and atoms, written as extended XYZ:
```
4
Lattice="0.0000 3.8900 3.8900 3.8900 0.0000 3.8900 3.8900 3.8900 0.0000" Properties=species:S:1:pos:R:3 pbc="T T T"
Hf 1.9450 1.9450 1.9450
Ba 5.8349 5.8349 5.8349
Ba 0.0000 0.0000 0.0000
Si 3.8900 3.8900 3.8900
```

Output
As for the space group: F-43m.



No. 2
Compound: PmAgSeO
Source: OQMD
Functional: PBE
Structure: relaxed

Cell and atoms, written as extended XYZ:
```
8
Lattice="-0.9119 -0.8696 3.8493 3.3241 -2.2985 0.2682 4.8965 7.4120 2.8344" Properties=species:S:1:pos:R:3 pbc="T T T"
O 2.2651 -1.9413 1.1635
O 0.1471 -1.2268 2.9540
Se 4.0541 4.4319 3.0270
Se 3.2547 -0.1880 3.9248
Ag 4.7133 1.7647 2.5807
Ag 2.5954 2.4792 4.3712
Pm 1.2097 0.1263 1.3805
Pm 6.0990 4.1176 5.5713
```

Output
As for the space group: P4/nmm. Its distance to the lowest polymorph of the same formula is 0.0012 eV/atom.



Number 1: VASP energy -4.195 eV/atom. Number 2: VASP energy -5.932 eV/atom.